1.
Here is a geometry-optimized CoNiSn6 structure from the Alexandria database. Energies are from PBE-GGA.

SG   P-1
N(E_F)   0.5564 states/eV per atom
Excess energy over the best structure of this formula in the dataset   8 meV/atom
Energy   -0.3396 Ry/atom
M_tot   0.000 μB per formula unit

abc: 5.7617 6.1175 6.7818
angles: 67.66 65.62 62.82
Last column: nearest neighbours and their distance in Å.
Positions (direct):
Co 0.0000 0.0000 0.0000  6 Sn 2.50-2.56
Ni 0.5000 0.5000 0.5000  6 Sn 2.54-2.62
Sn 0.0369 0.7595 0.7440  1 Co 2.56, 1 Ni 2.62
Sn 0.2778 0.5877 0.2093  1 Co 2.53, 1 Ni 2.54
Sn 0.4145 0.0868 0.7169  1 Co 2.50, 1 Ni 2.55
Sn 0.5855 0.9132 0.2831  1 Co 2.50, 1 Ni 2.55
Sn 0.7222 0.4123 0.7907  1 Co 2.53, 1 Ni 2.54
Sn 0.9631 0.2405 0.2560  1 Co 2.56, 1 Ni 2.62



2.
Here is a geometry-optimized CoNi6Sn structure from the Alexandria database. Energies are from PBE-GGA.

SG   Cmmm
N(E_F)   1.3484 states/eV per atom
Energy   -0.4239 Ry/atom
M_tot   4.305 μB per formula unit

abc: 6.2916 6.2916 10.3066
angles: 90.00 90.00 109.62
Last column: nearest neighbours and their distance in Å.
Positions (direct):
Co 0.0000 0.0000 0.2433  12 Ni 2.50-2.65
Co 0.0000 0.0000 0.7567  12 Ni 2.50-2.65
Co 0.2532 0.7468 0.0000  12 Ni 2.46-2.60
Co 0.7468 0.2532 0.0000  12 Ni 2.46-2.60
Ni 0.0000 0.0000 0.0000  4 Co 2.51-2.60, 8 Ni 2.51
Ni 0.0000 0.0000 0.5000  8 Ni 2.54, 2 Sn 2.61, 2 Co 2.65
Ni 0.1132 0.3703 0.1190  8 Ni 2.45-2.64, 3 Co 2.49-2.55, 1 Sn 2.64
Ni 0.1132 0.3703 0.8810  8 Ni 2.45-2.64, 3 Co 2.49-2.55, 1 Sn 2.64
Ni 0.1173 0.3615 0.3682  1 Co 2.50, 8 Ni 2.51-2.72, 3 Sn 2.59-2.65
Ni 0.1173 0.3615 0.6318  1 Co 2.50, 8 Ni 2.51-2.72, 3 Sn 2.59-2.65
Ni 0.2441 0.7559 0.2388  8 Ni 2.45-2.69, 2 Co 2.46-2.51, 2 Sn 2.63-2.69
Ni 0.2441 0.7559 0.7612  8 Ni 2.45-2.69, 2 Co 2.46-2.51, 2 Sn 2.63-2.69
Ni 0.3615 0.1173 0.3682  1 Co 2.50, 8 Ni 2.51-2.72, 3 Sn 2.59-2.65
Ni 0.3615 0.1173 0.6318  1 Co 2.50, 8 Ni 2.51-2.72, 3 Sn 2.59-2.65
Ni 0.3703 0.1132 0.1190  8 Ni 2.45-2.64, 3 Co 2.49-2.55, 1 Sn 2.64
Ni 0.3703 0.1132 0.8810  8 Ni 2.45-2.64, 3 Co 2.49-2.55, 1 Sn 2.64
Ni 0.5000 0.5000 0.0000  2 Sn 2.54, 2 Co 2.54, 8 Ni 2.60
Ni 0.5000 0.5000 0.5000  4 Sn 2.53-2.62, 8 Ni 2.64
Ni 0.6297 0.8868 0.1190  8 Ni 2.45-2.64, 3 Co 2.49-2.55, 1 Sn 2.64
Ni 0.6297 0.8868 0.8810  8 Ni 2.45-2.64, 3 Co 2.49-2.55, 1 Sn 2.64
Ni 0.6385 0.8827 0.3682  1 Co 2.50, 8 Ni 2.51-2.72, 3 Sn 2.59-2.65
Ni 0.6385 0.8827 0.6318  1 Co 2.50, 8 Ni 2.51-2.72, 3 Sn 2.59-2.65
Ni 0.7559 0.2441 0.2388  8 Ni 2.45-2.69, 2 Co 2.46-2.51, 2 Sn 2.63-2.69
Ni 0.7559 0.2441 0.7612  8 Ni 2.45-2.69, 2 Co 2.46-2.51, 2 Sn 2.63-2.69
Ni 0.8827 0.6385 0.3682  1 Co 2.50, 8 Ni 2.51-2.72, 3 Sn 2.59-2.65
Ni 0.8827 0.6385 0.6318  1 Co 2.50, 8 Ni 2.51-2.72, 3 Sn 2.59-2.65
Ni 0.8868 0.6297 0.1190  8 Ni 2.45-2.64, 3 Co 2.49-2.55, 1 Sn 2.64
Ni 0.8868 0.6297 0.8810  8 Ni 2.45-2.64, 3 Co 2.49-2.55, 1 Sn 2.64
Sn 0.2542 0.7458 0.5000  12 Ni 2.53-2.69
Sn 0.5000 0.5000 0.2462  12 Ni 2.54-2.64
Sn 0.5000 0.5000 0.7538  12 Ni 2.54-2.64
Sn 0.7458 0.2542 0.5000  12 Ni 2.53-2.69



3.
Here is a geometry-optimized CoNiSn2 structure from the Alexandria database. Energies are from PBE-GGA.

SG   R-3m
N(E_F)   1.0317 states/eV per atom
Excess energy over the best structure of this formula in the dataset   292 meV/atom
Energy   -0.3564 Ry/atom
M_tot   1.109 μB per formula unit

abc: 9.0286 9.0286 9.0286
angles: 20.01 20.01 20.01
Last column: nearest neighbours and their distance in Å.
Positions (direct):
Co 0.0000 0.0000 0.0000  6 Sn 2.65
Ni 0.5000 0.5000 0.5000  2 Sn 2.49
Sn 0.4061 0.4061 0.4061  1 Ni 2.49, 3 Co 2.65
Sn 0.5939 0.5939 0.5939  1 Ni 2.49, 3 Co 2.65